Nb3AlAu | PBE-GGA | optimized geometry

POSCAR file:
```
Nb3AlAu
1.0
4.949 0.000 0.000
0.000 4.949 0.000
0.000 0.000 4.949
Nb Al Au
3 1 1
direct
0.000 0.000 0.500 Nb
0.000 0.500 0.000 Nb
0.500 0.000 0.000 Nb
0.500 0.500 0.500 Al
0.000 0.000 0.000 Au
```

Excess energy over the best structure of this formula in the dataset, kJ/mol of formula units: 187
Calculated formation energy, eV/f.u.: 7.18
Symmetry: Pm-3m

=====

Nb3AlAu | PBE-GGA | optimized geometry

POSCAR file:
```
Nb3AlAu
1.0
4.684 0.000 0.000
0.000 4.684 0.000
0.000 0.000 4.684
Nb Al Au
3 1 1
direct
0.000 0.000 0.500 Nb
0.000 0.500 0.000 Nb
0.500 0.000 0.000 Nb
0.000 0.000 0.000 Al
0.500 0.500 0.500 Au
```

Excess energy over the best structure of this formula in the dataset, kJ/mol of formula units: 0
Calculated formation energy, eV/f.u.: 5.24
Symmetry: Pm-3m

=====

Nb6AlAu2 | PBE-GGA | optimized geometry

POSCAR file:
```
Nb6AlAu2
1.0
3.607 -6.827 0.000
3.607 6.827 0.000
-0.723 0.000 3.295
Nb Al Au
6 1 2
direct
0.004 0.327 0.322 Nb
0.170 0.170 0.843 Nb
0.327 0.004 0.322 Nb
0.673 0.996 0.678 Nb
0.830 0.830 0.157 Nb
0.996 0.673 0.678 Nb
0.500 0.500 0.500 Al
0.348 0.652 0.000 Au
0.652 0.348 0.000 Au
```

Calculated formation energy, eV/f.u.: -0.53
Symmetry: C2/m

=====

NbAl2OsAu | PBE-GGA | optimized geometry

POSCAR file:
```
NbAl2OsAu
1.0
4.766 0.000 0.000
0.000 4.766 0.000
0.000 0.000 4.881
Nb Al Os Au
1 2 1 1
direct
0.000 0.000 0.000 Nb
0.000 0.500 0.000 Al
0.500 0.000 0.000 Al
0.500 0.500 0.500 Os
0.000 0.000 0.500 Au
```

Excess energy over the best structure of this formula in the dataset, kJ/mol of formula units: 293
Calculated formation energy, eV/f.u.: 9.26
Symmetry: P4/mmm

=====

NbAl2OsAu | PBE-GGA | optimized geometry

POSCAR file:
```
NbAl2OsAu
1.0
4.523 0.000 0.000
0.000 4.523 0.000
0.000 0.000 5.136
Nb Al Os Au
1 2 1 1
direct
0.000 0.000 0.000 Nb
0.000 0.500 0.500 Al
0.500 0.000 0.500 Al
0.500 0.500 0.000 Os
0.000 0.000 0.500 Au
```

Excess energy over the best structure of this formula in the dataset, kJ/mol of formula units: 0
Calculated formation energy, eV/f.u.: 6.22
Symmetry: P4/mmm

=====

Nb2AlPAu | PBE-GGA | optimized geometry

POSCAR file:
```
Nb2AlPAu
1.0
4.839 0.000 0.000
0.000 4.839 0.000
0.000 0.000 4.464
Nb Al P Au
2 1 1 1
direct
0.000 0.500 0.000 Nb
0.500 0.000 0.000 Nb
0.000 0.000 0.000 Al
0.500 0.500 0.500 P
0.000 0.000 0.500 Au
```

Calculated formation energy, eV/f.u.: 5.56
Symmetry: P4/mmm

=====

NbAl2AuS | PBE-GGA | optimized geometry

POSCAR file:
```
NbAl2AuS
1.0
5.177 0.000 0.000
0.000 5.177 0.000
0.000 0.000 4.994
Nb Al Au S
1 2 1 1
direct
0.000 0.000 0.000 Nb
0.000 0.500 0.000 Al
0.500 0.000 0.000 Al
0.000 0.000 0.500 Au
0.500 0.500 0.500 S
```

Formation energy from raw total energies, eV per atom: 1.1242
Symmetry: P4/mmm

=====

NbAlSi2Au | PBE-GGA | optimized geometry

POSCAR file:
```
NbAlSi2Au
1.0
4.576 0.000 0.000
0.000 4.576 0.000
0.000 0.000 5.434
Nb Al Si Au
1 1 2 1
direct
0.000 0.000 0.000 Nb
0.500 0.500 0.000 Al
0.000 0.500 0.500 Si
0.500 0.000 0.500 Si
0.000 0.000 0.500 Au
```

Formation energy from raw total energies, eV per atom: 1.1323
Symmetry: P4/mmm

=====

no.,total moment (Bohr magnetons per cell)
1,0.0
2,0.0
3,0.0
4,0.0
5,0.6
6,1.2
7,1.1
8,1.1